## Ca2NbCrO6 (SCAN)

Data for a crystal of Ca2NbCrO6 relaxed with PBEsol.

magnetic moment = 6.0 μB/cell
calculated total energy = -13.885 eV per atom

```
data_Ca2NbCrO6
_chemical_formula_sum 'Ca4 Nb2 Cr2 O12'
_cell_length_a 5.384
_cell_length_b 5.509
_cell_length_c 9.356
_cell_angle_alpha 90.00
_cell_angle_beta 124.86
_cell_angle_gamma 90.00
_space_group_name_H-M_alt 'P 1 21/c 1'
_space_group_IT_number 14
_space_group_name_Hall '-P 2ybc'
loop_
_atom_site_label
_atom_site_type_symbol
_atom_site_fract_x
_atom_site_fract_y
_atom_site_fract_z
Ca1 Ca 0.237 0.048 0.248
Nb1 Nb 0.500 0.000 0.000
Cr1 Cr 0.000 0.000 0.500
O1 O 0.159 0.209 0.957
O2 O 0.247 0.705 0.955
O3 O 0.332 0.023 0.747
```


## SrCaNbCrO6 (SCAN)

Data for a crystal of SrCaNbCrO6 relaxed with PBEsol.

magnetic moment = 6.0 μB/cell
calculated total energy = -15.135 eV per atom

```
data_SrCaNbCrO6
_chemical_formula_sum 'Sr2 Ca2 Nb2 Cr2 O12'
_cell_length_a 5.489
_cell_length_b 5.528
_cell_length_c 9.508
_cell_angle_alpha 90.00
_cell_angle_beta 125.16
_cell_angle_gamma 90.00
_space_group_name_H-M_alt 'P 1 c 1'
_space_group_IT_number 7
_space_group_name_Hall 'P -2yc'
loop_
_atom_site_label
_atom_site_type_symbol
_atom_site_fract_x
_atom_site_fract_y
_atom_site_fract_z
Sr1 Sr 0.000 0.228 0.000
Ca1 Ca 0.485 0.290 0.498
Nb1 Nb 0.746 0.248 0.250
Cr1 Cr 0.246 0.249 0.749
O1 O 0.004 0.472 0.781
O2 O 0.075 0.036 0.288
O3 O 0.437 0.476 0.220
O4 O 0.494 0.040 0.710
O5 O 0.547 0.267 0.997
O6 O 0.921 0.240 0.502
```


## CaNb2CrP (SCAN)

Data for a crystal of CaNb2CrP relaxed with PBEsol.

magnetic moment = 0.0 μB/cell
formation enthalpy at 0 K = 0.8732 eV/atom

```
data_CaNb2CrP
_chemical_formula_sum 'Ca1 Nb2 Cr1 P1'
_cell_length_a 4.440
_cell_length_b 4.440
_cell_length_c 5.339
_cell_angle_alpha 90.00
_cell_angle_beta 90.00
_cell_angle_gamma 90.00
_space_group_name_H-M_alt 'P 4/m m m'
_space_group_IT_number 123
_space_group_name_Hall '-P 4 2'
loop_
_atom_site_label
_atom_site_type_symbol
_atom_site_fract_x
_atom_site_fract_y
_atom_site_fract_z
Ca1 Ca 0.000 0.000 0.000
Nb1 Nb 0.000 0.500 0.500
Cr1 Cr 0.000 0.000 0.500
P1 P 0.500 0.500 0.000
```


## CaNd3Cr4O16 (SCAN)

Data for a crystal of CaNd3Cr4O16 relaxed with PBEsol.

magnetic moment = 3.0 μB/cell
calculated total energy = -15.840 eV per atom

```
data_CaNd3Cr4O16
_chemical_formula_sum 'Ca1 Nd3 Cr4 O16'
_cell_length_a 7.284
_cell_length_b 7.284
_cell_length_c 6.325
_cell_angle_alpha 90.00
_cell_angle_beta 90.00
_cell_angle_gamma 90.00
_space_group_name_H-M_alt 'P -4 m 2'
_space_group_IT_number 115
_space_group_name_Hall 'P -4 -2'
loop_
_atom_site_label
_atom_site_type_symbol
_atom_site_fract_x
_atom_site_fract_y
_atom_site_fract_z
Ca1 Ca 0.000 0.000 0.000
Nd1 Nd 0.000 0.500 0.249
Nd2 Nd 0.500 0.500 0.500
Cr1 Cr 0.000 0.000 0.500
Cr2 Cr 0.000 0.500 0.752
Cr3 Cr 0.500 0.500 0.000
O1 O 0.000 0.180 0.337
O2 O 0.000 0.321 0.918
O3 O 0.179 0.500 0.582
O4 O 0.320 0.500 0.171
```


## CaNdCrO4 (SCAN)

Data for a crystal of CaNdCrO4 relaxed with PBEsol.

magnetic moment = 6.0 μB/cell
calculated total energy = -16.985 eV per atom

```
data_CaNdCrO4
_chemical_formula_sum 'Ca2 Nd2 Cr2 O8'
_cell_length_a 3.786
_cell_length_b 3.786
_cell_length_c 11.929
_cell_angle_alpha 90.00
_cell_angle_beta 90.00
_cell_angle_gamma 90.00
_space_group_name_H-M_alt 'I 4 m m'
_space_group_IT_number 107
_space_group_name_Hall 'I 4 -2'
loop_
_atom_site_label
_atom_site_type_symbol
_atom_site_fract_x
_atom_site_fract_y
_atom_site_fract_z
Ca1 Ca 0.000 0.000 0.000
Nd1 Nd 0.000 0.000 0.282
Cr1 Cr 0.000 0.000 0.636
O1 O 0.000 0.000 0.473
O2 O 0.000 0.000 0.811
O3 O 0.000 0.500 0.147
```


## CaCrNi2 (SCAN)

Data for a crystal of CaCrNi2 relaxed with PBEsol.

magnetic moment = 4.4 μB/cell
energy above the lowest structure with this stoichiometry = 0 meV/atom
formation enthalpy at 0 K = 0.2212 eV/atom

```
data_CaCrNi2
_chemical_formula_sum 'Ca1 Cr1 Ni2'
_cell_length_a 4.410
_cell_length_b 4.410
_cell_length_c 2.976
_cell_angle_alpha 90.00
_cell_angle_beta 90.00
_cell_angle_gamma 90.00
_space_group_name_H-M_alt 'P 4/m m m'
_space_group_IT_number 123
_space_group_name_Hall '-P 4 2'
loop_
_atom_site_label
_atom_site_type_symbol
_atom_site_fract_x
_atom_site_fract_y
_atom_site_fract_z
Ca1 Ca 0.000 0.000 0.000
Cr1 Cr 0.500 0.500 0.000
Ni1 Ni 0.000 0.500 0.500
```


## Ca2CrNi (SCAN)

Data for a crystal of Ca2CrNi relaxed with PBEsol.

magnetic moment = 3.8 μB/cell
formation enthalpy at 0 K = 0.2331 eV/atom

```
data_Ca2CrNi
_chemical_formula_sum 'Ca2 Cr1 Ni1'
_cell_length_a 3.305
_cell_length_b 3.305
_cell_length_c 8.182
_cell_angle_alpha 90.00
_cell_angle_beta 90.00
_cell_angle_gamma 90.00
_space_group_name_H-M_alt 'P 4 m m'
_space_group_IT_number 99
_space_group_name_Hall 'P 4 -2'
loop_
_atom_site_label
_atom_site_type_symbol
_atom_site_fract_x
_atom_site_fract_y
_atom_site_fract_z
Ca1 Ca 0.000 0.000 0.000
Ca2 Ca 0.500 0.500 0.394
Cr1 Cr 0.000 0.000 0.654
Ni1 Ni 0.500 0.500 0.754
```


## CaCr3Ni (SCAN)

Data for a crystal of CaCr3Ni relaxed with PBEsol.

magnetic moment = 9.0 μB/cell
formation enthalpy at 0 K = 2.7636 eV/atom

```
data_CaCr3Ni
_chemical_formula_sum 'Ca1 Cr3 Ni1'
_cell_length_a 4.102
_cell_length_b 4.102
_cell_length_c 4.102
_cell_angle_alpha 90.00
_cell_angle_beta 90.00
_cell_angle_gamma 90.00
_space_group_name_H-M_alt 'P m -3 m'
_space_group_IT_number 221
_space_group_name_Hall '-P 4 2 3'
loop_
_atom_site_label
_atom_site_type_symbol
_atom_site_fract_x
_atom_site_fract_y
_atom_site_fract_z
Ca1 Ca 0.000 0.000 0.000
Cr1 Cr 0.000 0.000 0.500
Ni1 Ni 0.500 0.500 0.500
```


## Ca4CrNi (SCAN)

Data for a crystal of Ca4CrNi relaxed with PBEsol.

magnetic moment = 23.9 μB/cell
formation enthalpy at 0 K = 0.9486 eV/atom

```
data_Ca4CrNi
_chemical_formula_sum 'Ca16 Cr4 Ni4'
_cell_length_a 8.841
_cell_length_b 8.841
_cell_length_c 8.841
_cell_angle_alpha 90.00
_cell_angle_beta 90.00
_cell_angle_gamma 90.00
_space_group_name_H-M_alt 'F -4 3 m'
_space_group_IT_number 216
_space_group_name_Hall 'F -4 2 3'
loop_
_atom_site_label
_atom_site_type_symbol
_atom_site_fract_x
_atom_site_fract_y
_atom_site_fract_z
Ca1 Ca 0.125 0.125 0.125
Cr1 Cr 0.000 0.000 0.500
Ni1 Ni 0.250 0.250 0.750
```


## CaCr2Ni (SCAN)

Data for a crystal of CaCr2Ni relaxed with PBEsol.

magnetic moment = 0.0 μB/cell
energy above the lowest structure with this stoichiometry = 60 meV/atom
formation enthalpy at 0 K = 0.9316 eV/atom

```
data_CaCr2Ni
_chemical_formula_sum 'Ca2 Cr4 Ni2'
_cell_length_a 3.517
_cell_length_b 3.517
_cell_length_c 9.171
_cell_angle_alpha 90.00
_cell_angle_beta 90.00
_cell_angle_gamma 90.00
_space_group_name_H-M_alt 'I 4/m m m'
_space_group_IT_number 139
_space_group_name_Hall '-I 4 2'
loop_
_atom_site_label
_atom_site_type_symbol
_atom_site_fract_x
_atom_site_fract_y
_atom_site_fract_z
Ca1 Ca 0.000 0.000 0.000
Cr1 Cr 0.000 0.500 0.250
Ni1 Ni 0.000 0.000 0.500
```


## CaCrNi2 (SCAN)

Data for a crystal of CaCrNi2 relaxed with PBEsol.

magnetic moment = 9.6 μB/cell
energy above the lowest structure with this stoichiometry = 83 meV/atom
formation enthalpy at 0 K = 0.3040 eV/atom

```
data_CaCrNi2
_chemical_formula_sum 'Ca2 Cr2 Ni4'
_cell_length_a 2.898
_cell_length_b 4.441
_cell_length_c 9.275
_cell_angle_alpha 90.00
_cell_angle_beta 90.00
_cell_angle_gamma 90.00
_space_group_name_H-M_alt 'I m m 2'
_space_group_IT_number 44
_space_group_name_Hall 'I 2 -2'
loop_
_atom_site_label
_atom_site_type_symbol
_atom_site_fract_x
_atom_site_fract_y
_atom_site_fract_z
Ca1 Ca 0.000 0.000 0.000
Cr1 Cr 0.000 0.500 0.790
Ni1 Ni 0.000 0.000 0.519
Ni2 Ni 0.000 0.500 0.231
```


## CaCr2Ni (SCAN)

Data for a crystal of CaCr2Ni relaxed with PBEsol.

magnetic moment = 3.8 μB/cell
energy above the lowest structure with this stoichiometry = 0 meV/atom
formation enthalpy at 0 K = 0.8721 eV/atom

```
data_CaCr2Ni
_chemical_formula_sum 'Ca2 Cr4 Ni2'
_cell_length_a 4.889
_cell_length_b 9.364
_cell_length_c 2.495
_cell_angle_alpha 90.00
_cell_angle_beta 107.34
_cell_angle_gamma 90.00
_space_group_name_H-M_alt 'C 1 2/m 1'
_space_group_IT_number 12
_space_group_name_Hall '-C 2y'
loop_
_atom_site_label
_atom_site_type_symbol
_atom_site_fract_x
_atom_site_fract_y
_atom_site_fract_z
Ca1 Ca 0.000 0.000 0.000
Cr1 Cr 0.250 0.250 0.500
Ni1 Ni 0.000 0.500 0.000
```


## Ca2CrReNi (SCAN)

Data for a crystal of Ca2CrReNi relaxed with PBEsol.

magnetic moment = 6.7 μB/cell
formation enthalpy at 0 K = 1.2082 eV/atom

```
data_Ca2CrReNi
_chemical_formula_sum 'Ca2 Cr1 Re1 Ni1'
_cell_length_a 5.078
_cell_length_b 5.078
_cell_length_c 4.359
_cell_angle_alpha 90.00
_cell_angle_beta 90.00
_cell_angle_gamma 90.00
_space_group_name_H-M_alt 'P 4/m m m'
_space_group_IT_number 123
_space_group_name_Hall '-P 4 2'
loop_
_atom_site_label
_atom_site_type_symbol
_atom_site_fract_x
_atom_site_fract_y
_atom_site_fract_z
Ca1 Ca 0.000 0.500 0.000
Cr1 Cr 0.000 0.000 0.500
Re1 Re 0.500 0.500 0.500
Ni1 Ni 0.000 0.000 0.000
```


## Ca2Cr3O8 (SCAN)

Data for a crystal of Ca2Cr3O8 relaxed with PBEsol.

magnetic moment = 12.0 μB/cell
calculated total energy = -12.198 eV per atom

```
data_Ca2Cr3O8
_chemical_formula_sum 'Ca4 Cr6 O16'
_cell_length_a 10.913
_cell_length_b 5.906
_cell_length_c 4.947
_cell_angle_alpha 90.00
_cell_angle_beta 110.29
_cell_angle_gamma 90.00
_space_group_name_H-M_alt 'C 1 2/m 1'
_space_group_IT_number 12
_space_group_name_Hall '-C 2y'
loop_
_atom_site_label
_atom_site_type_symbol
_atom_site_fract_x
_atom_site_fract_y
_atom_site_fract_z
Ca1 Ca 0.226 0.000 0.168
Cr1 Cr 0.000 0.236 0.500
Cr2 Cr 0.000 0.500 0.000
O1 O 0.097 0.500 0.405
O2 O 0.101 0.280 0.889
O3 O 0.104 0.000 0.463
```


## CaCr2O4 (SCAN)

Data for a crystal of CaCr2O4 relaxed with PBEsol.

magnetic moment = 29.7 μB/cell
energy above the lowest structure with this stoichiometry = 118 meV/atom

```
data_CaCr2O4
_chemical_formula_sum 'Ca6 Cr12 O24'
_cell_length_a 6.0960
_cell_length_b 6.0960
_cell_length_c 15.0540
_cell_angle_alpha 90.00
_cell_angle_beta 90.00
_cell_angle_gamma 120.00
_space_group_name_H-M_alt 'P 3 m 1'
_space_group_IT_number 156
_space_group_name_Hall 'P 3 -2"'
loop_
_atom_site_label
_atom_site_type_symbol
_atom_site_fract_x
_atom_site_fract_y
_atom_site_fract_z
Ca1 Ca 0.0000 0.0000 0.0000
Ca2 Ca 0.0000 0.0000 0.2470
Ca3 Ca 0.0000 0.0000 0.6226
Ca4 Ca 0.3333 0.6667 0.3336
Ca5 Ca 0.6667 0.3333 0.6633
Ca6 Ca 0.6667 0.3333 0.9101
Cr1 Cr 0.0005 0.5002 0.1218
Cr2 Cr 0.1669 0.3338 0.7917
Cr3 Cr 0.3333 0.6667 0.5700
Cr4 Cr 0.3333 0.6667 0.9569
Cr5 Cr 0.3390 0.1695 0.4514
Cr6 Cr 0.6667 0.3333 0.2856
O1 O 0.0000 0.0000 0.3920
O2 O 0.0000 0.0000 0.8569
O3 O 0.0575 0.5287 0.8674
O4 O 0.1664 0.3328 0.5213
O5 O 0.1932 0.3863 0.0465
O6 O 0.3034 0.1517 0.7278
O7 O 0.3333 0.6667 0.1874
O8 O 0.3333 0.6667 0.7163
O9 O 0.3850 0.1925 0.1980
O10 O 0.5282 0.0565 0.3756
O11 O 0.6667 0.3333 0.0569
O12 O 0.6667 0.3333 0.5161
```


## CaCr2O4 (SCAN)

Data for a crystal of CaCr2O4 relaxed with PBEsol.

magnetic moment = 36.0 μB/cell
energy above the lowest structure with this stoichiometry = 112 meV/atom

```
data_CaCr2O4
_chemical_formula_sum 'Ca6 Cr12 O24'
_cell_length_a 5.9119
_cell_length_b 5.9119
_cell_length_c 16.5068
_cell_angle_alpha 90.00
_cell_angle_beta 90.00
_cell_angle_gamma 120.00
_space_group_name_H-M_alt 'R 3 m'
_space_group_IT_number 160
_space_group_name_Hall 'R 3 -2"'
loop_
_atom_site_label
_atom_site_type_symbol
_atom_site_fract_x
_atom_site_fract_y
_atom_site_fract_z
Ca1 Ca 0.0000 0.0000 0.0000
Ca2 Ca 0.0000 0.0000 0.3470
Cr1 Cr 0.0000 0.0000 0.5133
Cr2 Cr 0.0067 0.5034 0.4973
O1 O 0.0000 0.0000 0.2193
O2 O 0.0000 0.0000 0.7722
O3 O 0.1680 0.3360 0.1019
O4 O 0.1711 0.3422 0.5644
```


## CaCr2O4 (SCAN)

Data for a crystal of CaCr2O4 relaxed with PBEsol.

magnetic moment = 24.0 μB/cell
energy above the lowest structure with this stoichiometry = 0 meV/atom

```
data_CaCr2O4
_chemical_formula_sum 'Ca4 Cr8 O16'
_cell_length_a 8.985
_cell_length_b 2.980
_cell_length_c 10.546
_cell_angle_alpha 90.00
_cell_angle_beta 90.00
_cell_angle_gamma 90.00
_space_group_name_H-M_alt 'P n m a'
_space_group_IT_number 62
_space_group_name_Hall '-P 2ac 2n'
loop_
_atom_site_label
_atom_site_type_symbol
_atom_site_fract_x
_atom_site_fract_y
_atom_site_fract_z
Ca1 Ca 0.240 0.250 0.159
Cr1 Cr 0.060 0.250 0.387
Cr2 Cr 0.084 0.250 0.899
O1 O 0.029 0.750 0.786
O2 O 0.080 0.250 0.574
O3 O 0.117 0.750 0.024
O4 O 0.202 0.750 0.339
```


## CaCr2O4 (SCAN)

Data for a crystal of CaCr2O4 relaxed with PBEsol.

magnetic moment = 24.0 μB/cell
energy above the lowest structure with this stoichiometry = 21 meV/atom

```
data_CaCr2O4
_chemical_formula_sum 'Ca4 Cr8 O16'
_cell_length_a 5.857
_cell_length_b 10.886
_cell_length_c 5.083
_cell_angle_alpha 90.00
_cell_angle_beta 90.00
_cell_angle_gamma 90.00
_space_group_name_H-M_alt 'P m m n'
_space_group_IT_number 59
loop_
_space_group_symop_operation_xyz
'x,y,z'
'-x,-y,-z'
'-x+1/2,-y+1/2,z'
'x+1/2,y+1/2,-z'
'x+1/2,-y,-z'
'-x+1/2,y,z'
'-x,y+1/2,-z'
'x,-y+1/2,z'
loop_
_atom_site_label
_atom_site_type_symbol
_atom_site_fract_x
_atom_site_fract_y
_atom_site_fract_z
Ca1 Ca 0.250 0.250 0.035
Ca2 Ca 0.250 0.750 0.354
Cr1 Cr 0.000 0.000 0.500
Cr2 Cr 0.250 0.509 0.995
O1 O 0.004 0.100 0.835
O2 O 0.250 0.089 0.322
O3 O 0.250 0.596 0.659
```